Entry 1:
Ti2InP | PBE | optimized geometry

Structure (POSCAR):
```
Ti2InP
1.0
1.7034 0.9835 7.2870
-1.7034 0.9835 7.2870
0.0000 -1.9669 7.2870
Ti In P
2 1 1
Cartesian
0.0000 0.0000 5.0057 Ti
0.0000 0.0000 16.8553 Ti
0.0000 0.0000 0.0000 In
0.0000 0.0000 10.9305 P
```

Properties
E in eV per atom: -6.66
N(E_F) in states/eV/f.u.: 1.81
Calculated density in kg/m³: 5476

---

Entry 2:
Ba2LiCaBr6 | PBE | optimized geometry

Structure (POSCAR):
```
Ba2LiCaBr6
1.0
-3.8480 3.8512 5.4478
3.8480 -3.8512 5.4478
3.8480 3.8512 -5.4478
Ba Li Ca Br
2 1 1 6
Cartesian
0.0000 0.0000 2.7180 Ba
0.0000 0.0000 8.1775 Ba
3.8480 0.0000 0.0000 Li
0.0000 3.8512 0.0000 Ca
1.9795 1.8630 0.0000 Br
3.8480 0.0000 2.6415 Br
5.7165 1.8630 0.0000 Br
-1.8685 1.9882 5.4478 Br
0.0000 3.8512 2.8062 Br
1.8685 1.9882 5.4478 Br
```

Properties
ΔE_f (raw) in meV/atom: -1757
N(E_F) in states/eV/f.u.: 2.22
Calculated density in kg/m³: 4119

---

Entry 3:
CaAlIr2F | PBE | optimized geometry

Structure (POSCAR):
```
CaAlIr2F
1.0
4.4128 0.0000 0.0000
0.0000 4.4128 0.0000
0.0000 0.0000 6.1325
Ca Al Ir F
1 1 2 1
Cartesian
0.0000 0.0000 0.0000 Ca
0.0000 0.0000 3.0663 Al
0.0000 2.2064 3.0663 Ir
2.2064 0.0000 3.0663 Ir
2.2064 2.2064 0.0000 F
```

Properties
ΔE_f (raw) in meV/atom: 176
N(E_F) in states/eV/f.u.: 3.47
Calculated density in kg/m³: 6542

---

Entry 4:
PmDy6Er5 | PBE | optimized geometry

Structure (POSCAR):
```
PmDy6Er5
1.0
3.0612 -5.2983 0.0000
3.0612 5.2983 0.0000
-2.0338 0.0000 11.5360
Pm Dy Er
1 6 5
Cartesian
0.0000 0.0000 0.0000 Pm
1.0214 1.7690 2.9011 Dy
0.0114 0.0000 8.6367 Dy
1.0214 -1.7690 2.9011 Dy
3.0672 1.7690 8.6349 Dy
4.0772 0.0000 2.8993 Dy
3.0672 -1.7690 8.6349 Dy
2.0443 3.5298 5.7680 Er
3.0612 1.7675 0.0000 Er
2.0443 0.0000 5.7680 Er
3.0612 -1.7675 0.0000 Er
2.0443 -3.5298 5.7680 Er
```

Properties
E in eV per atom: -4.58
N(E_F) in states/eV/f.u.: 15.53
Calculated density in kg/m³: 8681

---

Entry 5:
TbPr4Tm2 | PBE | optimized geometry

Structure (POSCAR):
```
TbPr4Tm2
1.0
-3.4617 5.7494 6.0704
3.4617 -5.7494 6.0704
3.4617 5.7494 -6.0704
Tb Pr Tm
2 8 4
Cartesian
-1.7308 2.8747 3.0352 Tb
1.7308 2.8747 3.0352 Tb
0.0000 0.0300 1.8353 Pr
1.5318 2.8747 -0.1139 Pr
1.9299 -2.8747 5.9564 Pr
3.4617 0.0300 4.2351 Pr
0.0000 5.7194 1.8353 Pr
1.5318 8.6242 0.1139 Pr
1.9299 2.8747 6.1843 Pr
3.4617 5.7194 4.2351 Pr
3.4617 0.0000 0.0000 Tm
3.4617 2.8747 -2.6412 Tm
0.0000 0.0000 6.0704 Tm
0.0000 2.8747 8.7116 Tm
```

Properties
E in eV per atom: -4.42
N(E_F) in states/eV/f.u.: 10.45
Calculated density in kg/m³: 7287

---

Entry 6:
CaSb2O4 | PBE | optimized geometry

Structure (POSCAR):
```
CaSb2O4
1.0
6.9729 0.0000 0.0000
0.0000 12.0509 0.0000
0.0000 0.0000 5.7312
Ca Sb O
4 8 16
Cartesian
1.7432 3.0127 0.4008 Ca
1.7432 9.0382 2.1021 Ca
5.2297 3.0127 3.6291 Ca
5.2297 9.0382 5.3303 Ca
0.0000 0.0000 2.8656 Sb
0.0000 6.0255 2.8656 Sb
1.7432 6.4904 5.7080 Sb
1.7432 11.5860 5.7080 Sb
3.4865 0.0000 2.8656 Sb
3.4865 6.0255 2.8656 Sb
5.2297 0.4650 0.0232 Sb
5.2297 5.5605 0.0232 Sb
0.3046 7.5267 0.9583 O
0.3046 10.5497 0.9583 O
1.7432 1.2077 1.9458 O
1.7432 4.8177 1.9458 O
1.7432 7.4346 3.7964 O
1.7432 10.6418 3.7964 O
3.1819 7.5267 0.9583 O
3.1819 10.5497 0.9583 O
3.7910 1.5012 4.7729 O
3.7910 4.5243 4.7729 O
5.2297 1.4091 1.9348 O
5.2297 4.6163 1.9348 O
5.2297 7.2332 3.7854 O
5.2297 10.8432 3.7854 O
6.6683 1.5012 4.7729 O
6.6683 4.5243 4.7729 O
```

Properties
ΔE_f (raw) in meV/atom: -1531
Calculated density in kg/m³: 4794

---

Entry 7:
SiIrOs3 | PBE | optimized geometry

Structure (POSCAR):
```
SiIrOs3
1.0
4.7103 0.0000 0.0000
0.0000 4.7103 0.0000
0.0000 0.0000 4.7103
Si Ir Os
1 1 3
Cartesian
0.0000 0.0000 0.0000 Si
2.3551 2.3551 2.3551 Ir
0.0000 2.3551 2.3551 Os
2.3551 0.0000 2.3551 Os
2.3551 2.3551 0.0000 Os
```

Properties
ΔE_f (raw) in meV/atom: 2472
N(E_F) in states/eV/f.u.: 5.85
Calculated density in kg/m³: 12569

---

Entry 8:
Mn2ZnMo | PBE | optimized geometry

Structure (POSCAR):
```
Mn2ZnMo
1.0
-1.9624 1.9624 3.4522
1.9624 -1.9624 3.4522
1.9624 1.9624 -3.4522
Mn Zn Mo
2 1 1
Cartesian
1.9624 0.0000 1.7261 Mn
0.0000 1.9624 1.7261 Mn
0.0000 0.0000 0.0000 Zn
0.0000 0.0000 3.4522 Mo
```

Properties
E in eV per atom: -7.52
N(E_F) in states/eV/f.u.: 2.36
Calculated density in kg/m³: 8470